1.
Compound: BaAl3Sb
Source: the Alexandria database
Functional: PBE
Structure: relaxed

Cell and atoms, written as CIF:
```
data_BaAl3Sb
_cell_length_a 5.477
_cell_length_b 5.477
_cell_length_c 5.477
_cell_angle_alpha 90.00
_cell_angle_beta 90.00
_cell_angle_gamma 90.00
_space_group_name_H-M_alt 'P m -3 m'
_space_group_IT_number 221
_space_group_name_Hall '-P 4 2 3'
loop_
_atom_site_label
_atom_site_fract_x
_atom_site_fract_y
_atom_site_fract_z
Ba1 0.000 0.000 0.000
Al1 0.000 0.500 0.500
Sb1 0.500 0.500 0.500
```

- Volume: 32.9 A^3/atom
- Crystal system: cubic
- ΔE to the lowest computed polymorph: 0 meV/atom
- Size of the total moment: 0.0 μB per cell

2.
Compound: KV3Cd
Source: the Alexandria database
Functional: PBE
Structure: relaxed

Cell and atoms, written as CIF:
```
data_KV3Cd
_cell_length_a 4.355
_cell_length_b 4.355
_cell_length_c 4.355
_cell_angle_alpha 90.00
_cell_angle_beta 90.00
_cell_angle_gamma 90.00
_space_group_name_H-M_alt 'P m -3 m'
_space_group_IT_number 221
_space_group_name_Hall '-P 4 2 3'
loop_
_atom_site_label
_atom_site_fract_x
_atom_site_fract_y
_atom_site_fract_z
K1 0.000 0.000 0.000
V1 0.000 0.000 0.500
Cd1 0.500 0.500 0.500
```

- Volume: 16.5 A^3/atom
- Energy of formation: 2.32 eV/atom
- Crystal system: cubic
- ΔE to the lowest computed polymorph: 700 meV/atom
- Size of the total moment: 0.0 μB per cell

3.
Compound: Y2TlCdO6
Source: the Alexandria database
Functional: PBE
Structure: relaxed

Cell and atoms, written as CIF:
```
data_Y2TlCdO6
_cell_length_a 5.8070
_cell_length_b 5.8070
_cell_length_c 15.4196
_cell_angle_alpha 90.00
_cell_angle_beta 90.00
_cell_angle_gamma 120.00
_space_group_name_H-M_alt 'R 3'
_space_group_IT_number 146
_space_group_name_Hall 'R 3'
loop_
_atom_site_label
_atom_site_fract_x
_atom_site_fract_y
_atom_site_fract_z
Y1 0.0000 0.0000 0.0000
Y2 0.0000 0.0000 0.4990
Tl1 0.0000 0.0000 0.2855
Cd1 0.0000 0.0000 0.7858
O1 0.0382 0.3706 0.5618
O2 0.0427 0.6705 0.0612
```

- Volume: 15.0 A^3/atom
- Crystal system: trigonal
- Electronic total energy: -6.61 eV/atom
- Size of the total moment: 3.3 μB per cell

4.
Compound: TcBSbC2
Source: the Alexandria database
Functional: PBE
Structure: relaxed

Cell and atoms, written as CIF:
```
data_TcBSbC2
_cell_length_a 4.023
_cell_length_b 4.023
_cell_length_c 5.306
_cell_angle_alpha 90.00
_cell_angle_beta 90.00
_cell_angle_gamma 90.00
_space_group_name_H-M_alt 'P 4/m m m'
_space_group_IT_number 123
_space_group_name_Hall '-P 4 2'
loop_
_atom_site_label
_atom_site_fract_x
_atom_site_fract_y
_atom_site_fract_z
Tc1 0.000 0.000 0.000
B1 0.500 0.500 0.000
Sb1 0.000 0.000 0.500
C1 0.000 0.500 0.500
```

- Volume: 17.2 A^3/atom
- Crystal system: tetragonal
- Electronic total energy: -4.62 eV/atom
- Size of the total moment: 0.0 μB per cell

5.
Compound: SrCuF2
Source: the Alexandria database
Functional: PBE
Structure: relaxed

Cell and atoms, written as CIF:
```
data_SrCuF2
_cell_length_a 3.9409
_cell_length_b 3.9409
_cell_length_c 18.8889
_cell_angle_alpha 90.00
_cell_angle_beta 90.00
_cell_angle_gamma 120.00
_space_group_name_H-M_alt 'R -3 m'
_space_group_IT_number 166
_space_group_name_Hall '-R 3 2"'
loop_
_atom_site_label
_atom_site_fract_x
_atom_site_fract_y
_atom_site_fract_z
Sr1 0.0000 0.0000 0.0000
Cu1 0.0000 0.0000 0.5000
F1 0.0000 0.0000 0.3814
```

- Volume: 21.2 A^3/atom
- Crystal system: trigonal
- ΔE to the lowest computed polymorph: 0 meV/atom
- Size of the total moment: 0.0 μB per cell

6.
Compound: Cs2MgZrI6
Source: the Alexandria database
Functional: PBE
Structure: relaxed

Cell and atoms, written as CIF:
```
data_Cs2MgZrI6
_cell_length_a 11.916
_cell_length_b 11.916
_cell_length_c 11.916
_cell_angle_alpha 90.00
_cell_angle_beta 90.00
_cell_angle_gamma 90.00
_space_group_name_H-M_alt 'F m -3 m'
_space_group_IT_number 225
_space_group_name_Hall '-F 4 2 3'
loop_
_atom_site_label
_atom_site_fract_x
_atom_site_fract_y
_atom_site_fract_z
Cs1 0.250 0.250 0.250
Mg1 0.000 0.000 0.000
Zr1 0.000 0.000 0.500
I1 0.000 0.000 0.248
```

- Volume: 42.3 A^3/atom
- Crystal system: cubic
- Electronic total energy: -3.15 eV/atom
- Size of the total moment: 8.0 μB per cell

> What is the formula in the third record?

Y2TlCdO6